A relaxed Rb2RuRh crystal. Source: Alexandria, functional PBE.

Geometry as POSCAR:
```
Rb2RuRh
1.0
-6.400 6.400 2.344
6.400 -6.400 2.344
6.400 6.400 -2.344
Rb Ru Rh
4 2 2
Direct
0.375 0.190 0.315
0.810 0.125 0.185
0.875 0.060 0.685
0.940 0.625 0.815
0.250 0.750 0.500
0.500 0.500 0.000
0.000 0.000 0.000
0.750 0.250 0.500
```

## Properties
Energy relative to the elements: 1.031 eV/atom
DOS(E_F): 13.12 states/eV per cell
Relative energy among the computed polymorphs: 0.0 meV per atom
Density: 3.24 g cm⁻³
Final energy: -3.61 eV/atom